# 1
Below is a relaxed Ac2CdGeAu6 crystal, with properties calculated at the PBE level. Values from VASP.

## Properties
- crystal system = triclinic
- energy (eV per atom) = -3.808
- DOS at the Fermi energy (states/eV/cell) = 3.77
- ΔE_f (eV per formula unit) = -4.662
- total magnetic moment (μB per cell) = 0.00

Structure (Quantum ESPRESSO input):
```
&SYSTEM
  ibrav = 0, nat = 10, ntyp = 4
/
ATOMIC_SPECIES
Ac 227.00 Ac.upf
Cd 112.41 Cd.upf
Ge 72.64 Ge.upf
Au 196.97 Au.upf
CELL_PARAMETERS angstrom
5.2601 0.0000 0.0000
-1.4909 5.9909 0.0000
-2.0417 -1.5837 7.7963
ATOMIC_POSITIONS crystal
Ac 0.0679 0.2852 0.1942
Ac 0.9321 0.7148 0.8058
Cd 0.5000 0.0000 0.5000
Ge 0.5000 0.5000 0.0000
Au 0.0419 0.2261 0.7462
Au 0.3045 0.5600 0.5841
Au 0.4459 0.9134 0.1444
Au 0.5541 0.0866 0.8556
Au 0.6955 0.4400 0.4159
Au 0.9581 0.7739 0.2538
```

# 2
Below is a relaxed NaPdN2F crystal, with properties calculated at the PBE level. Values from VASP.

## Properties
- crystal system = tetragonal
- energy (eV per atom) = -3.241
- energy relative to the lowest polymorph listed for this composition (eV/f.u.) = 6.86
- DOS at the Fermi energy (states/eV/cell) = 7.29
- formation energy from raw total energies (eV/atom) = 1.765
- total magnetic moment (μB per cell) = 1.05

Structure (Quantum ESPRESSO input):
```
&SYSTEM
  ibrav = 0, nat = 5, ntyp = 4
/
ATOMIC_SPECIES
Na 22.99 Na.upf
Pd 106.42 Pd.upf
N 14.01 N.upf
F 19.00 F.upf
CELL_PARAMETERS angstrom
4.2298 0.0000 0.0000
0.0000 4.2298 0.0000
0.0000 0.0000 3.8660
ATOMIC_POSITIONS crystal
Na 0.0000 0.0000 0.0000
Pd 0.5000 0.5000 0.5000
N 0.0000 0.5000 0.0000
N 0.5000 0.0000 0.0000
F 0.0000 0.0000 0.5000
```

# 3
Below is a relaxed Sc5Te crystal, with properties calculated at the PBE level. Values from VASP.

## Properties
- crystal system = cubic
- energy (eV per atom) = -5.703
- energy relative to the lowest polymorph listed for this composition (eV/f.u.) = 2.62
- DOS at the Fermi energy (states/eV/cell) = 8.74
- formation energy from raw total energies (eV/atom) = 0.097
- total magnetic moment (μB per cell) = 2.67

Structure (Quantum ESPRESSO input):
```
&SYSTEM
  ibrav = 0, nat = 6, ntyp = 2
/
ATOMIC_SPECIES
Sc 44.96 Sc.upf
Te 127.60 Te.upf
CELL_PARAMETERS angstrom
0.0000 4.2417 4.2417
4.2417 0.0000 4.2417
4.2417 4.2417 0.0000
ATOMIC_POSITIONS crystal
Sc 0.0000 0.0000 0.0000
Sc 0.1197 0.6268 0.6268
Sc 0.6268 0.1197 0.6268
Sc 0.6268 0.6268 0.1197
Sc 0.6268 0.6268 0.6268
Te 0.2500 0.2500 0.2500
```

# 4
Below is a relaxed Tb2HoCdO crystal, with properties calculated at the PBE level. Values from VASP.

## Properties
- crystal system = tetragonal
- energy (eV per atom) = -5.266
- DOS at the Fermi energy (states/eV/cell) = 2.56
- formation energy from raw total energies (eV/atom) = -1.323
- total magnetic moment (μB per cell) = 0.00

Structure (Quantum ESPRESSO input):
```
&SYSTEM
  ibrav = 0, nat = 5, ntyp = 4
/
ATOMIC_SPECIES
Tb 158.93 Tb.upf
Ho 164.93 Ho.upf
Cd 112.41 Cd.upf
O 16.00 O.upf
CELL_PARAMETERS angstrom
4.8135 0.0000 0.0000
0.0000 4.8135 0.0000
0.0000 0.0000 4.7610
ATOMIC_POSITIONS crystal
Tb 0.0000 0.5000 0.0000
Tb 0.5000 0.0000 0.0000
Ho 0.0000 0.0000 0.5000
Cd 0.5000 0.5000 0.5000
O 0.0000 0.0000 0.0000
```

# 5
Below is a relaxed ZnInTc2 crystal, with properties calculated at the PBE level. Values from VASP.

## Properties
- crystal system = orthorhombic
- energy (eV per atom) = -5.875
- energy relative to the lowest polymorph listed for this composition (eV/f.u.) = 0.98
- DOS at the Fermi energy (states/eV/cell) = 6.38
- ΔE_f (eV per formula unit) = 1.243
- total magnetic moment (μB per cell) = 0.00

Structure (Quantum ESPRESSO input):
```
&SYSTEM
  ibrav = 0, nat = 8, ntyp = 3
/
ATOMIC_SPECIES
Zn 65.41 Zn.upf
In 114.82 In.upf
Tc 98.00 Tc.upf
CELL_PARAMETERS angstrom
3.2092 0.0000 0.0000
0.0000 4.4578 0.0000
0.0000 0.0000 8.9211
ATOMIC_POSITIONS crystal
Zn 0.0000 0.0000 0.0000
Zn 0.5000 0.5000 0.5000
In 0.0000 0.0000 0.5000
In 0.5000 0.5000 0.0000
Tc 0.0000 0.5000 0.2575
Tc 0.0000 0.5000 0.7425
Tc 0.5000 0.0000 0.2425
Tc 0.5000 0.0000 0.7575
```